Material: NaAl4Ge3O12
Method: DFT, PBE-GGA
State: optimized geometry

a = 7.252 Å, b = 7.252 Å, c = 7.252 Å
α = 90.00°, β = 90.00°, γ = 90.00°
Space group Im-3 (No. 204)
Inequivalent atoms, fractional coordinates:
Na1 0.000 0.000 0.000 (multiplicity 2)
Al1 0.250 0.250 0.250 (multiplicity 8)
Ge1 0.000 0.000 0.500 (multiplicity 6)
O1 0.000 0.312 0.185 (multiplicity 24)

Properties
VASP energy (eV per atom): -6.579
E_form (uncorrected) (eV per atom): -2.10
Magnetization (μB/atom): 0.000

=====

Material: Na2AlGeO4
Method: DFT, PBE-GGA
State: optimized geometry

a = 5.198 Å, b = 5.198 Å, c = 8.144 Å
α = 90.00°, β = 90.00°, γ = 90.00°
Space group I-4 (No. 82)
Inequivalent atoms, fractional coordinates:
Na1 0.000 0.000 0.000 (multiplicity 2)
Na2 0.000 0.500 0.250 (multiplicity 2)
Al1 0.000 0.000 0.500 (multiplicity 2)
Ge1 0.000 0.500 0.750 (multiplicity 2)
O1 0.164 0.240 0.622 (multiplicity 8)

Properties
VASP energy (eV per atom): -5.786
E_form (uncorrected) (eV per atom): -1.93
Magnetization (μB/atom): 0.000

=====

Material: Na2PmAlGe2
Method: DFT, PBE-GGA
State: optimized geometry

a = 4.349 Å, b = 8.773 Å, c = 7.414 Å
α = 90.00°, β = 90.00°, γ = 90.00°
Space group Pmc2_1 (No. 26)
Inequivalent atoms, fractional coordinates:
Na1 0.000 0.080 0.000 (multiplicity 2)
Na2 0.500 0.159 0.320 (multiplicity 2)
Pm1 0.500 0.441 0.966 (multiplicity 2)
Al1 0.000 0.322 0.628 (multiplicity 2)
Ge1 0.000 0.389 0.258 (multiplicity 2)
Ge2 0.500 0.176 0.714 (multiplicity 2)

Properties
VASP energy (eV per atom): -3.799
Magnetization (μB/atom): 0.000

=====

Material: NaPmAlGe
Method: DFT, PBE-GGA
State: optimized geometry

a = 7.228 Å, b = 7.228 Å, c = 7.228 Å
α = 90.00°, β = 90.00°, γ = 90.00°
Space group F-43m (No. 216)
Inequivalent atoms, fractional coordinates:
Na1 0.000 0.000 0.000 (multiplicity 4)
Pm1 0.000 0.000 0.500 (multiplicity 4)
Al1 0.250 0.250 0.750 (multiplicity 4)
Ge1 0.250 0.250 0.250 (multiplicity 4)

Properties
VASP energy (eV per atom): -3.757
Magnetization (μB/atom): 0.000

=====

Material: Na2PrAlGe2
Method: DFT, PBE-GGA
State: optimized geometry

a = 4.376 Å, b = 8.781 Å, c = 7.522 Å
α = 90.00°, β = 90.00°, γ = 90.00°
Space group Pmc2_1 (No. 26)
Inequivalent atoms, fractional coordinates:
Na1 0.000 0.079 0.000 (multiplicity 2)
Na2 0.500 0.158 0.322 (multiplicity 2)
Pr1 0.500 0.439 0.969 (multiplicity 2)
Al1 0.000 0.321 0.629 (multiplicity 2)
Ge1 0.000 0.388 0.261 (multiplicity 2)
Ge2 0.500 0.175 0.710 (multiplicity 2)

Properties
VASP energy (eV per atom): -3.793
Magnetization (μB/atom): 0.000

=====

Material: Rb2NaAlGe2
Method: DFT, PBE-GGA
State: optimized geometry

a = 7.167 Å, b = 16.652 Å, c = 6.507 Å
α = 90.00°, β = 90.00°, γ = 90.00°
Space group Ibam (No. 72)
Inequivalent atoms, fractional coordinates:
Rb1 0.237 0.172 0.000 (multiplicity 8)
Na1 0.000 0.000 0.250 (multiplicity 4)
Al1 0.000 0.500 0.250 (multiplicity 4)
Ge1 0.200 0.412 0.000 (multiplicity 8)

Properties
VASP energy (eV per atom): -2.771
Magnetization (μB/atom): 0.000

=====

Material: Na2AlGeRu
Method: DFT, PBE-GGA
State: optimized geometry

a = 5.304 Å, b = 5.304 Å, c = 4.626 Å
α = 90.00°, β = 90.00°, γ = 90.00°
Space group P4/mmm (No. 123)
Inequivalent atoms, fractional coordinates:
Na1 0.000 0.500 0.000 (multiplicity 2)
Al1 0.000 0.000 0.500 (multiplicity 1)
Ge1 0.500 0.500 0.000 (multiplicity 1)
Ru1 0.500 0.500 0.500 (multiplicity 1)

Properties
VASP energy (eV per atom): -3.321
Magnetization (μB/atom): 0.229

=====

Material: NaAl2GeS6
Method: DFT, PBE-GGA
State: optimized geometry

a = 12.529 Å, b = 12.703 Å, c = 7.231 Å
α = 90.00°, β = 116.77°, γ = 90.00°
Space group C2/c (No. 15)
Inequivalent atoms, fractional coordinates:
Na1 0.000 0.121 0.250 (multiplicity 4)
Al1 0.182 0.420 0.112 (multiplicity 8)
Ge1 0.000 0.181 0.750 (multiplicity 4)
S1 0.107 0.254 0.058 (multiplicity 8)
S2 0.119 0.070 0.681 (multiplicity 8)
S3 0.121 0.456 0.365 (multiplicity 8)

Properties
VASP energy (eV per atom): -4.515
E_form (uncorrected) (eV per atom): -0.70
Magnetization (μB/atom): 0.102

=====

Material: Na2AlGeS4
Method: DFT, PBE-GGA
State: optimized geometry

a = 6.380 Å, b = 6.380 Å, c = 9.679 Å
α = 90.00°, β = 90.00°, γ = 90.00°
Space group I-4 (No. 82)
Inequivalent atoms, fractional coordinates:
Na1 0.000 0.000 0.000 (multiplicity 2)
Na2 0.000 0.500 0.250 (multiplicity 2)
Al1 0.000 0.000 0.500 (multiplicity 2)
Ge1 0.000 0.500 0.750 (multiplicity 2)
S1 0.193 0.763 0.620 (multiplicity 8)

Properties
VASP energy (eV per atom): -4.287
E_form (uncorrected) (eV per atom): -0.85
Magnetization (μB/atom): 0.087

=====

Material: Na2AlGeSe4
Method: DFT, PBE-GGA
State: optimized geometry

a = 6.705 Å, b = 6.705 Å, c = 10.199 Å
α = 90.00°, β = 90.00°, γ = 90.00°
Space group I-4 (No. 82)
Inequivalent atoms, fractional coordinates:
Na1 0.000 0.000 0.000 (multiplicity 2)
Na2 0.000 0.500 0.250 (multiplicity 2)
Al1 0.000 0.000 0.500 (multiplicity 2)
Ge1 0.000 0.500 0.750 (multiplicity 2)
Se1 0.198 0.239 0.620 (multiplicity 8)

Properties
VASP energy (eV per atom): -3.872
E_form (uncorrected) (eV per atom): -0.75
Magnetization (μB/atom): 0.000

=====

Material: NaAlGe2Se6
Method: DFT, PBE-GGA
State: optimized geometry

a = 13.525 Å, b = 13.044 Å, c = 7.152 Å
α = 90.00°, β = 113.19°, γ = 90.00°
Space group C2/c (No. 15)
Inequivalent atoms, fractional coordinates:
Na1 0.000 0.136 0.250 (multiplicity 4)
Al1 0.000 0.204 0.750 (multiplicity 4)
Ge1 0.201 0.424 0.186 (multiplicity 8)
Se1 0.105 0.070 0.671 (multiplicity 8)
Se2 0.130 0.255 0.079 (multiplicity 8)
Se3 0.132 0.436 0.455 (multiplicity 8)

Properties
VASP energy (eV per atom): -3.990
E_form (uncorrected) (eV per atom): -0.47
Magnetization (μB/atom): 0.000

=====

Material: Na2SmAlGe2
Method: DFT, PBE-GGA
State: optimized geometry

a = 4.340 Å, b = 8.772 Å, c = 7.378 Å
α = 90.00°, β = 90.00°, γ = 90.00°
Space group Pmc2_1 (No. 26)
Inequivalent atoms, fractional coordinates:
Na1 0.000 0.080 0.000 (multiplicity 2)
Na2 0.500 0.159 0.320 (multiplicity 2)
Sm1 0.500 0.441 0.966 (multiplicity 2)
Al1 0.000 0.322 0.628 (multiplicity 2)
Ge1 0.000 0.389 0.258 (multiplicity 2)
Ge2 0.500 0.177 0.715 (multiplicity 2)

Properties
VASP energy (eV per atom): -3.794
Magnetization (μB/atom): 0.000